A geometry-optimized NbTlCd2F structure, computed with GGA-PBEsol.

## Properties
E_form (uncorrected)   0.657 eV/atom
DOS(E_F)   3.58 states/eV per cell

abc: 4.3911 5.4289 5.4289
angles: 90.00 90.00 90.00
With the nearest neighbours (Å) after each atom.
Element x y z (fractional)
Tl  0.0000  0.0000  0.0000  2 F 2.20
F  0.5000  0.0000  0.0000  2 Tl 2.20
Nb  0.5000  0.5000  0.5000  8 Cd 3.49, 4 F 3.84
Cd  0.0000  0.0000  0.5000  2 Tl 2.71
Cd  0.0000  0.5000  0.0000  2 Tl 2.71

A geometry-optimized CdNi2F structure, computed with GGA-PBEsol.

## Properties
E_form (uncorrected)   0.133 eV/atom
DOS(E_F)   8.72 states/eV per cell

abc: 4.1676 4.1676 4.1676
angles: 60.00 60.00 60.00
With the nearest neighbours (Å) after each atom.
Element x y z (fractional)
Ni  0.2500  0.2500  0.2500  4 Cd 2.55, 4 F 2.55
Ni  0.7500  0.7500  0.7500  4 Cd 2.55, 4 F 2.55
F  0.0000  0.0000  0.0000  8 Ni 2.55
Cd  0.5000  0.5000  0.5000  8 Ni 2.55

A geometry-optimized CdOF2 structure, computed with GGA-PBEsol.

## Properties
E_form (uncorrected)   -0.032 eV/atom
DOS(E_F)   0.94 states/eV per cell

abc: 3.2157 3.2157 7.8215
angles: 78.14 78.14 60.00
With the nearest neighbours (Å) after each atom.
Element x y z (fractional)
F  0.9145  0.9145  0.2565  1 Cd 1.95
F  0.0855  0.0855  0.7435  1 Cd 1.95
O  0.5000  0.5000  0.5000  6 F 2.62
Cd  0.0000  0.0000  0.0000  2 F 1.95

A geometry-optimized Cd2PO4F structure, computed with GGA-PBEsol.

## Properties
E_form (uncorrected)   -1.923 eV/atom
DOS(E_F)   0.00 states/eV per cell

abc: 6.7142 7.7456 9.7572
angles: 73.57 69.88 64.32
With the nearest neighbours (Å) after each atom.
Element x y z (fractional)
Cd  0.7439  0.9696  0.3469  4 O 2.22-2.31, 2 F 2.30-2.41
Cd  0.9395  0.4696  0.8469  4 O 2.22-2.31, 2 F 2.30-2.41
Cd  0.7926  0.3816  0.5132  4 O 2.21-2.34, 2 F 2.29-2.45
Cd  0.3127  0.8816  0.0132  4 O 2.21-2.34, 2 F 2.29-2.45
Cd  0.2074  0.6184  0.4868  4 O 2.21-2.34, 2 F 2.29-2.45
Cd  0.2561  0.0304  0.6531  4 O 2.22-2.31, 2 F 2.30-2.41
Cd  0.6873  0.1184  0.9868  4 O 2.21-2.34, 2 F 2.29-2.45
Cd  0.0605  0.5304  0.1531  4 O 2.22-2.31, 2 F 2.30-2.41
P  0.7643  0.9536  0.6944  4 O 1.55
P  0.5877  0.4536  0.1944  4 O 1.55
P  0.4123  0.5464  0.8056  4 O 1.55
P  0.2357  0.0464  0.3056  4 O 1.55
O  0.6085  0.0291  0.5873  1 P 1.55
O  0.2250  0.4709  0.9127  1 P 1.55
O  0.6480  0.2404  0.1831  1 P 1.55
O  0.9285  0.7404  0.6831  1 P 1.55
O  0.7750  0.5291  0.0873  1 P 1.55
O  0.3814  0.0311  0.1440  1 P 1.55
O  0.3520  0.7596  0.8169  1 P 1.55
O  0.6186  0.9689  0.8560  1 P 1.55
O  0.3604  0.5853  0.1497  1 P 1.55
O  0.0954  0.9147  0.3503  1 P 1.55
O  0.4435  0.5311  0.6440  1 P 1.55
O  0.3915  0.9709  0.4127  1 P 1.55
O  0.9046  0.0853  0.6497  1 P 1.55
O  0.6396  0.4147  0.8503  1 P 1.55
O  0.0715  0.2596  0.3169  1 P 1.55
O  0.5565  0.4689  0.3560  1 P 1.55
F  0.0679  0.1358  0.8904  4 Cd 2.29-2.45
F  0.9321  0.8642  0.1096  4 Cd 2.29-2.45
F  0.9059  0.6358  0.3904  4 Cd 2.29-2.45
F  0.0941  0.3642  0.6096  4 Cd 2.29-2.45

A geometry-optimized Sr5Cd5P6O24F2 structure, computed with GGA-PBEsol.

## Properties
E_form (uncorrected)   -2.433 eV/atom
DOS(E_F)   0.00 states/eV per cell

abc: 6.9641 9.4879 9.5369
angles: 119.43 90.00 90.00
With the nearest neighbours (Å) after each atom.
Element x y z (fractional)
Sr  0.5000  0.2486  0.2364  1 F 2.36, 5 O 2.38-2.62
Sr  0.5000  0.9840  0.7536  1 F 2.36, 5 O 2.41-2.64
Sr  0.5000  0.7436  0.0061  1 F 2.35, 3 O 2.35-2.51
Sr  0.0000  0.7558  0.7621  5 O 2.39-2.60, 1 F 2.42
Sr  0.0000  0.0167  0.2409  5 O 2.40-2.63, 1 F 2.43
Cd  0.0000  0.2713  0.0128  1 F 2.23, 3 O 2.25-2.32
Cd  0.2517  0.6734  0.3393  6 O 2.35-2.46
Cd  0.7523  0.3275  0.6633  6 O 2.34-2.42
Cd  0.2477  0.3275  0.6633  6 O 2.34-2.42
Cd  0.7483  0.6734  0.3393  6 O 2.35-2.46
P  0.5000  0.0292  0.4061  4 O 1.54-1.56
P  0.5000  0.3686  0.9756  4 O 1.55-1.57
P  0.5000  0.5915  0.6222  4 O 1.54-1.56
P  0.0000  0.9695  0.5897  4 O 1.54-1.57
P  0.0000  0.6259  0.0262  4 O 1.54-1.57
P  0.0000  0.4084  0.3787  4 O 1.54-1.56
O  0.5000  0.1280  0.5941  1 P 1.56
O  0.5000  0.4401  0.8585  1 P 1.57
O  0.5000  0.4031  0.5412  1 P 1.56
O  0.0000  0.8724  0.4009  1 P 1.57
O  0.0000  0.5437  0.1347  1 P 1.57
O  0.0000  0.5969  0.4597  1 P 1.56
O  0.5000  0.8430  0.3441  1 P 1.56
O  0.5000  0.5090  0.1534  1 P 1.56
O  0.5000  0.6466  0.4926  1 P 1.56
O  0.0000  0.1561  0.6550  1 P 1.56
O  0.0000  0.4959  0.8448  1 P 1.55
O  0.0000  0.3522  0.5074  1 P 1.56
O  0.3216  0.0771  0.3439  1 P 1.54
O  0.3213  0.2586  0.9414  1 P 1.55
O  0.3227  0.6584  0.7318  1 P 1.54
O  0.8206  0.9168  0.6464  1 P 1.54
O  0.8250  0.7381  0.0695  1 P 1.54
O  0.8232  0.3418  0.2686  1 P 1.54
O  0.1794  0.9168  0.6464  1 P 1.54
O  0.1750  0.7381  0.0695  1 P 1.54
O  0.1768  0.3418  0.2686  1 P 1.54
O  0.6784  0.0771  0.3439  1 P 1.54
O  0.6787  0.2586  0.9414  1 P 1.55
O  0.6773  0.6584  0.7318  1 P 1.54
F  0.5000  0.9900  0.0042  3 Sr 2.35-2.36
F  0.0000  0.0264  0.9905  1 Cd 2.23, 2 Sr 2.42-2.43

A geometry-optimized CdSeO2F structure, computed with GGA-PBEsol.

## Properties
E_form (uncorrected)   0.070 eV/atom
DOS(E_F)   3.63 states/eV per cell

abc: 4.1128 4.1811 4.1811
angles: 90.00 90.00 90.00
With the nearest neighbours (Å) after each atom.
Element x y z (fractional)
F  0.5000  0.0000  0.0000  2 Cd 2.06
O  0.0000  0.0000  0.5000  2 Cd 2.09
O  0.0000  0.5000  0.0000  2 Cd 2.09
Se  0.5000  0.5000  0.5000  8 O 2.93, 4 F 2.96
Cd  0.0000  0.0000  0.0000  2 F 2.06, 4 O 2.09

A geometry-optimized CdSiOF2 structure, computed with GGA-PBEsol.

## Properties
E_form (uncorrected)   -0.735 eV/atom
DOS(E_F)   0.64 states/eV per cell

abc: 4.2166 4.2166 4.3256
angles: 90.00 90.00 90.00
With the nearest neighbours (Å) after each atom.
Element x y z (fractional)
Si  0.5000  0.5000  0.5000  4 O 2.98, 8 F 3.02
F  0.0000  0.5000  0.0000  2 Cd 2.11
F  0.5000  0.0000  0.0000  2 Cd 2.11
O  0.0000  0.0000  0.5000  2 Cd 2.16
Cd  0.0000  0.0000  0.0000  4 F 2.11, 2 O 2.16

A geometry-optimized CdTcOF2 structure, computed with GGA-PBEsol.

## Properties
E_form (uncorrected)   -0.340 eV/atom
DOS(E_F)   0.58 states/eV per cell

abc: 4.2323 4.2323 4.3162
angles: 90.00 90.00 90.00
With the nearest neighbours (Å) after each atom.
Element x y z (fractional)
F  0.0000  0.5000  0.0000  2 Cd 2.12
F  0.5000  0.0000  0.0000  2 Cd 2.12
Tc  0.5000  0.5000  0.5000  4 O 2.99, 8 F 3.02
O  0.0000  0.0000  0.5000  2 Cd 2.16
Cd  0.0000  0.0000  0.0000  4 F 2.12, 2 O 2.16

A geometry-optimized CdOs3F structure, computed with GGA-PBEsol.

## Properties
E_form (uncorrected)   1.710 eV/atom
DOS(E_F)   8.19 states/eV per cell

abc: 4.2226 4.2226 4.2226
angles: 90.00 90.00 90.00
With the nearest neighbours (Å) after each atom.
Element x y z (fractional)
F  0.0000  0.0000  0.0000  6 Os 2.11
Os  0.0000  0.5000  0.0000  2 F 2.11
Os  0.0000  0.0000  0.5000  2 F 2.11
Os  0.5000  0.0000  0.0000  2 F 2.11
Cd  0.5000  0.5000  0.5000  12 Os 2.99

A geometry-optimized CdOsF2 structure, computed with GGA-PBEsol.

## Properties
E_form (uncorrected)   -0.232 eV/atom
DOS(E_F)   2.82 states/eV per cell

abc: 2.6962 2.6962 8.7089
angles: 81.10 81.10 60.00
With the nearest neighbours (Å) after each atom.
Element x y z (fractional)
F  0.9057  0.9057  0.2828  1 Cd 2.42, 3 Os 2.43, 6 F 2.70
F  0.0943  0.0943  0.7172  1 Cd 2.42, 3 Os 2.43, 6 F 2.70
Os  0.5000  0.5000  0.5000  6 F 2.43, 6 Os 2.70
Cd  0.0000  0.0000  0.0000  2 F 2.42, 6 Cd 2.70

A geometry-optimized CdOsF3 structure, computed with GGA-PBEsol.

## Properties
E_form (uncorrected)   -0.514 eV/atom
DOS(E_F)   6.19 states/eV per cell

abc: 4.1572 4.1572 4.1572
angles: 90.00 90.00 90.00
With the nearest neighbours (Å) after each atom.
Element x y z (fractional)
F  0.0000  0.5000  0.0000  2 Os 2.08
F  0.0000  0.0000  0.5000  2 Os 2.08
F  0.5000  0.0000  0.0000  2 Os 2.08
Os  0.0000  0.0000  0.0000  6 F 2.08
Cd  0.5000  0.5000  0.5000  12 F 2.94

A geometry-optimized ScCd2OsF structure, computed with GGA-PBEsol.

## Properties
E_form (uncorrected)   0.402 eV/atom
DOS(E_F)   5.29 states/eV per cell

abc: 3.6712 5.2732 5.2732
angles: 90.00 90.00 90.00
With the nearest neighbours (Å) after each atom.
Element x y z (fractional)
Sc  0.0000  0.0000  0.0000  2 F 1.84
F  0.5000  0.0000  0.0000  2 Sc 1.84
Os  0.5000  0.5000  0.5000  8 Cd 3.21
Cd  0.0000  0.0000  0.5000  2 Sc 2.64
Cd  0.0000  0.5000  0.0000  2 Sc 2.64